# Sc2BRu6C

An optimized crystal structure of Sc2BRu6C (GGA-PBE, Alexandria via LeMat-Bulk).

Unit cell a=5.8096 b=5.8094 c=8.2236 alpha=90.00 beta=90.00 gamma=90.00
Fractional coordinates of all 20 atoms:
Ru 0.0000 0.7502 0.7530
Ru 0.5000 0.2498 0.7470
Ru 0.0000 0.7502 0.2470
Sc 0.5000 0.7498 0.2500
Ru 0.7529 0.9973 0.0000
Ru 0.7529 0.5031 0.0000
C 0.0000 0.7503 0.0000
C 0.5000 0.2497 0.5000
Ru 0.2529 0.4969 0.5000
Sc 0.0000 0.2502 0.2500
Ru 0.2471 0.5031 0.0000
Ru 0.5000 0.2498 0.2530
Ru 0.7471 0.4969 0.5000
Sc 0.5000 0.7498 0.7500
Sc 0.0000 0.2502 0.7500
B 0.5000 0.2503 0.0000
Ru 0.7471 0.0027 0.5000
Ru 0.2471 0.9973 0.0000
Ru 0.2529 0.0027 0.5000
B 0.0000 0.7497 0.5000

Energy of formation from the pure elements (meV per atom): -299
Crystal system: cubic

---

# RbAlSn

An optimized crystal structure of RbAlSn (GGA-PBE, Alexandria via LeMat-Bulk).

Unit cell a=11.9145 b=8.0873 c=7.5671 alpha=57.70 beta=38.07 gamma=90.00
Fractional coordinates of all 6 atoms:
Rb 0.7464 0.0000 0.0000
Sn 0.0000 0.6767 0.0000
Sn 0.0000 0.3233 0.0000
Al 0.5000 0.6596 0.0000
Al 0.5000 0.3404 0.0000
Rb 0.2536 0.0000 0.0000

Energy of formation from the pure elements (meV per atom): -63
Crystal system: orthorhombic

---

# SmPu2Pb9

An optimized crystal structure of SmPu2Pb9 (GGA-PBE, Alexandria via LeMat-Bulk).

Unit cell a=5.6374 b=5.6374 c=11.2900 alpha=90.00 beta=90.01 gamma=90.00
Fractional coordinates of all 12 atoms:
Pb 0.5000 0.5000 0.3328
Pb 0.5000 0.0000 0.1670
Pu 0.0000 0.0000 0.6654
Pb 0.0000 0.5000 0.1670
Pb 0.5000 0.5000 0.6672
Sm 0.0000 0.0000 0.0000
Pb 0.5000 0.0000 0.5000
Pb 0.5000 0.5000 0.0000
Pb 0.0000 0.5000 0.5000
Pu 0.0000 0.0000 0.3346
Pb 0.5000 0.0000 0.8330
Pb 0.0000 0.5000 0.8330

Energy of formation from the pure elements (meV per atom): -114
Crystal system: tetragonal

---

# Ac16Ir3Os5

An optimized crystal structure of Ac16Ir3Os5 (GGA-PBE, Alexandria via LeMat-Bulk).

Unit cell a=8.6993 b=8.6993 c=13.8397 alpha=89.95 beta=89.95 gamma=60.04
Fractional coordinates of all 24 atoms:
Ac 0.3335 0.8354 0.4043
Os 0.3336 0.8332 0.7873
Ac 0.0017 0.0017 0.6758
Ac 0.6680 0.1689 0.9040
Os 0.1660 0.1660 0.2871
Ac 0.5128 0.9708 0.6600
Ac 0.1689 0.6680 0.9040
Ir 0.6661 0.1660 0.2872
Ac 0.0288 0.4832 0.1587
Ac 0.6645 0.6645 0.8988
Ir 0.1660 0.6661 0.2872
Os 0.6682 0.6682 0.5141
Os 0.8332 0.3336 0.7873
Ac 0.4832 0.0288 0.1587
Ir 0.8332 0.8332 0.7872
Ac 0.1669 0.1669 0.9026
Ac 0.9708 0.5128 0.6600
Ac 0.8333 0.8333 0.4057
Ac 0.4850 0.4850 0.1589
Ac 0.3305 0.3305 0.3989
Ac 0.8354 0.3335 0.4043
Ac 0.5142 0.5142 0.6603
Os 0.3353 0.3353 0.0161
Ac 0.0011 0.0011 0.1757

Energy of formation from the pure elements (meV per atom): -229
Crystal system: monoclinic

---

# Ba3TiC

An optimized crystal structure of Ba3TiC (GGA-PBE, Alexandria via LeMat-Bulk).

Unit cell a=5.7776 b=5.7776 c=5.7776 alpha=90.00 beta=90.00 gamma=90.00
Fractional coordinates of all 5 atoms:
Ba 0.5000 0.0000 0.0000
Ti 0.5000 0.5000 0.5000
C 0.0000 0.0000 0.0000
Ba 0.0000 0.5000 0.0000
Ba 0.0000 0.0000 0.5000

Energy of formation from the pure elements (meV per atom): 1008
Distance to the lowest polymorph of the same formula (meV per atom): 0.0
Crystal system: cubic

---

# Li2SmTmSe4

An optimized crystal structure of Li2SmTmSe4 (GGA-PBE, Alexandria via LeMat-Bulk).

Unit cell a=4.0889 b=7.0828 c=6.9159 alpha=109.92 beta=90.00 gamma=90.00
Fractional coordinates of all 8 atoms:
Se 0.5000 0.2432 0.2520
Tm 0.0000 0.0000 0.0000
Li 0.5000 0.0000 0.5000
Sm 0.5000 0.5000 0.0000
Se 0.0000 0.7594 0.2558
Se 0.0000 0.2406 0.7442
Se 0.5000 0.7568 0.7480
Li 0.0000 0.5000 0.5000

Crystal system: monoclinic
Formation energy (no corrections) (eV per atom): -1.68

---

Number 1: V 139 Å³/f.u., M_tot 0.0 μB per formula unit. Number 2: V 112 Å³/f.u., M_tot 0.0 μB per formula unit. Number 3: V 359 Å³/f.u., M_tot 11.5 μB per formula unit. Number 4: V 907 Å³/f.u., M_tot 0.0 μB per formula unit. Number 5: V 193 Å³/f.u., M_tot 1.5 μB per formula unit. Number 6: V 188 Å³/f.u., M_tot 0.0 μB per formula unit.